(1)
Here is crystalline CeBePtC at its relaxed geometry from Alexandria. Energies are from PBE.

Unit cell a=3.8357 b=3.8357 c=8.1558 alpha=90.00 beta=90.00 gamma=90.00
Atoms (fractional coordinates):
Ce 0.2500 0.2500 0.1585
Ce 0.7500 0.7500 0.8415
Be 0.2500 0.2500 0.6588
Be 0.7500 0.7500 0.3412
Pt 0.2500 0.7500 0.5000
Pt 0.7500 0.2500 0.5000
C 0.2500 0.2500 0.8714
C 0.7500 0.7500 0.1286

Properties
formation energy = -518 meV per atom
M_tot = 0.105 μB/f.u.
E_tot = -6.75 eV per atom

(2)
Here is crystalline CeBe2Pt2C at its relaxed geometry from Alexandria. Energies are from PBE.

Unit cell a=6.4383 b=6.4383 c=6.4383 alpha=145.08 beta=145.08 gamma=50.21
Atoms (fractional coordinates):
Ce 0.0000 0.0000 0.0000
Be 0.3564 0.3564 0.0000
Be 0.6436 0.6436 0.0000
Pt 0.2500 0.7500 0.5000
Pt 0.7500 0.2500 0.5000
C 0.5000 0.5000 0.0000

Properties
formation energy = -579 meV per atom
M_tot = 0.486 μB/f.u.
E_tot = -6.36 eV per atom